Material: Nd3ScTl2
Method: DFT, PBE
State: optimized geometry

Output
* DFT total energy: -4.46 eV/atom
* Fermi-level density of states: 29.1 states/eV per cell
* formation enthalpy at 0 K: -0.234 eV per atom

a b c (Å): 6.662 16.712 6.611
angles (deg): 90.00 90.00 90.00
Space group Ibam (No. 72)
Inequivalent atoms, fractional coordinates:
Nd (0.000, 0.000, 0.250)
Nd (0.248, 0.324, 0.000)
Sc (0.000, 0.500, 0.250)
Tl (0.234, 0.368, 0.500)